{
  "formula": "TlPdSe2Br",
  "functional": "PBE",
  "state": "optimized geometry",
  "lattice_angstrom": [[5.0058, 0.0000, 0.0000], [0.0000, 5.0058, 0.0000], [0.0000, 0.0000, 5.4293]],
  "species": ["Tl", "Pd", "Se", "Se", "Br"],
  "fractional_positions": [[0.0000, 0.0000, 0.0000], [0.5000, 0.5000, 0.5000], [0.0000, 0.5000, 0.5000], [0.5000, 0.0000, 0.5000], [0.5000, 0.5000, 0.0000]],
  "e_above_lowest_polymorph_ev_per_atom": 0.000,
  "formation_energy_uncorrected_ev_per_atom": -0.0541,
  "dos_ef_per_ev_atom": 1.17,
  "energy_ev_per_atom": -3.294
}